Entry from Alexandria via LeMat-Bulk: a relaxed structure of Tm2MgS4 (GGA-PBE).

Cell: 7.5465 7.5465 7.5465 Å, 106.17 106.17 116.29°
Closest atoms and distances in Å follow each position.
Fractional coordinates of all 14 atoms:
Tm1 0.3750 0.4008 0.5258  6 S 2.67-2.76
Tm2 0.5992 0.1250 0.9742  6 S 2.67-2.76
Tm3 0.1508 0.6250 0.0258  6 S 2.67-2.76
S1 0.0570 0.3601 0.2057  1 Mg 2.49, 3 Tm 2.67-2.76
S2 0.1544 0.8513 0.7943  1 Mg 2.49, 3 Tm 2.67-2.76
S3 0.5956 0.8899 0.1969  1 Mg 2.49, 3 Tm 2.67-2.76
Mg1 0.0000 0.0000 0.0000  4 S 2.49
S4 0.6930 0.3987 0.8031  1 Mg 2.49, 3 Tm 2.67-2.76
S5 0.6013 0.4044 0.2943  1 Mg 2.49, 3 Tm 2.67-2.76
S6 0.1487 0.9430 0.3031  1 Mg 2.49, 3 Tm 2.67-2.76
S7 0.6399 0.8456 0.6969  1 Mg 2.49, 3 Tm 2.67-2.76
Mg2 0.7500 0.2500 0.5000  4 S 2.49
Tm4 0.8750 0.8492 0.4742  6 S 2.67-2.76
S8 0.1101 0.3070 0.7057  1 Mg 2.49, 3 Tm 2.67-2.76

Computed properties:
Uncorrected formation energy (eV per formula unit): -12.96
Calculated density (g/cm3): 4.977
Spin magnetization (μB per cell): 0.0

***

Entry from Alexandria via LeMat-Bulk: a relaxed structure of Sb2MoBr (GGA-PBE).

Cell: 5.0871 5.0871 5.0871 Å, 60.00 60.00 60.00°
Closest atoms and distances in Å follow each position.
Fractional coordinates of all 4 atoms:
Br1 0.0000 0.0000 0.0000  8 Sb 3.12
Mo1 0.5000 0.5000 0.5000  8 Sb 3.12
Sb1 0.2500 0.2500 0.2500  4 Mo 3.12, 4 Br 3.12
Sb2 0.7500 0.7500 0.7500  4 Mo 3.12, 4 Br 3.12

Computed properties:
Uncorrected formation energy (eV per formula unit): 2.98
Calculated density (g/cm3): 7.481
Spin magnetization (μB per cell): 2.8

***

Entry from Alexandria via LeMat-Bulk: a relaxed structure of Pm6Rh5Au (GGA-PBE).

Cell: 7.3174 7.2369 6.7435 Å, 57.55 81.95 74.87°
Closest atoms and distances in Å follow each position.
Fractional coordinates of all 12 atoms:
Rh1 0.5000 0.5000 0.0000  6 Pm 2.82-2.87
Pm1 0.2787 0.9042 0.6489  5 Rh 2.82-2.99, 1 Au 3.15
Pm2 0.2174 0.2905 0.0000  5 Rh 2.87-2.93, 1 Au 2.95
Rh2 0.5000 0.8711 0.2577  6 Pm 2.90-2.99, 1 Rh 2.93
Pm3 0.7213 0.4470 0.6489  5 Rh 2.82-2.99, 1 Au 3.15
Rh3 0.5000 0.1289 0.7423  6 Pm 2.90-2.99, 1 Rh 2.93
Pm4 0.2787 0.5530 0.3511  5 Rh 2.82-2.99, 1 Au 3.15
Pm5 0.7213 0.0958 0.3511  5 Rh 2.82-2.99, 1 Au 3.15
Rh4 0.0000 0.3048 0.3904  6 Pm 2.84-2.95
Au1 0.0000 0.0000 0.0000  6 Pm 2.95-3.15
Pm6 0.7826 0.7095 0.0000  5 Rh 2.87-2.93, 1 Au 2.95
Rh5 0.0000 0.6952 0.6096  6 Pm 2.84-2.95

Computed properties:
DFT formation energy (eV/atom): -0.591
Calculated density (g/cm3): 9.028
Spin magnetization (μB per cell): 0.0

***

Entry from Alexandria via LeMat-Bulk: a relaxed structure of InAg2Se (GGA-PBE).

Cell: 2.9570 2.9570 9.8659 Å, 90.00 90.00 86.24°
Closest atoms and distances in Å follow each position.
Fractional coordinates of all 4 atoms:
In1 0.0000 0.0000 0.4719  4 In 2.96, 4 Ag 3.17-3.26
Ag1 0.5000 0.5000 0.2242  8 Ag 2.90-3.00, 2 In 3.17
Se1 0.5000 0.5000 0.7905  4 Se 2.96, 4 Ag 2.99-3.08
Ag2 0.0000 0.0000 0.0134  8 Ag 2.90-3.00, 4 Se 2.99-3.08

Computed properties:
Uncorrected formation energy (eV per formula unit): 0.44
Calculated density (g/cm3): 7.900
Spin magnetization (μB per cell): 0.0